(1)
Ca2SbAu: relaxed, PBE.

Cell: 5.3089 5.3089 5.3089 Å, 60.00 60.00 60.00°
Positions (direct):
1 Au 0.5000 0.5000 0.5000
2 Ca 0.2500 0.2500 0.2500
3 Ca 0.0000 0.0000 0.0000
4 Sb 0.7500 0.7500 0.7500

Properties
density of states at the Fermi level = 3.274 states/eV/cell
V = 26.45 Å³/atom
symmetry = No. 216
E_tot = -13.01 eV for the cell shown
E_form (uncorrected) = -0.401 eV/atom
total moment = 0.0 Bohr magnetons per cell

(2)
Ca2SbAu: relaxed, PBE.

Cell: 3.7211 3.7211 7.6252 Å, 90.00 90.00 90.00°
Positions (direct):
1 Sb 0.5000 0.5000 0.2500
2 Ca 0.0000 0.0000 0.9870
3 Au 0.5000 0.5000 0.7500
4 Ca 0.0000 0.0000 0.5130

Properties
density of states at the Fermi level = 1.571 states/eV/cell
V = 26.40 Å³/atom
symmetry = No. 123
E_tot = -14.69 eV for the cell shown
E_form (uncorrected) = -0.822 eV/atom
total moment = 0.0 Bohr magnetons per cell

(3)
Ca3SbAu: relaxed, PBE.

Cell: 4.6015 8.6366 9.3458 Å, 108.00 119.49 90.01°
Positions (direct):
1 Ca 0.5903 0.5907 0.3404
2 Ca 0.1832 0.7645 0.9331
3 Ca 0.0706 0.9387 0.3206
4 Sb 0.4008 0.7990 0.6507
5 Ca 0.9294 0.0613 0.6794
6 Sb 0.5992 0.2010 0.3493
7 Ca 0.8168 0.2355 0.0669
8 Au 0.8244 0.6005 0.0744
9 Au 0.1756 0.3995 0.9256
10 Ca 0.4097 0.4093 0.6596

Properties
density of states at the Fermi level = 4.745 states/eV/cell
V = 30.22 Å³/atom
symmetry = No. 11
E_tot = -34.74 eV for the cell shown
relative energy among the computed polymorphs = 0.0000 eV per atom
E_form (uncorrected) = -0.793 eV/atom
total moment = 0.0 Bohr magnetons per cell